No. 1
CuPt2: optimized geometry, PBEsol.

Unit cell a=2.717 b=13.785 c=4.481 alpha=90.00 beta=90.00 gamma=90.00
Space group Cmcm (No. 63)
One atom of each set of equivalent atoms:
Cu 0.000 0.223 0.250 (multiplicity 4)
Pt 0.000 0.118 0.750 (multiplicity 4)
Pt 0.000 0.440 0.750 (multiplicity 4)

Computed properties:
Its density is 17.96 g/cm3.

=====

No. 2
CuPt2: optimized geometry, PBEsol.

Unit cell a=4.690 b=6.039 c=6.625 alpha=111.66 beta=90.38 gamma=105.04
Space group P-1 (No. 2)
One atom of each set of equivalent atoms:
Cu 0.043 0.378 0.295 (multiplicity 2)
Cu 0.210 0.874 0.459 (multiplicity 2)
Pt 0.121 0.121 0.867 (multiplicity 2)
Pt 0.291 0.628 0.047 (multiplicity 2)
Pt 0.364 0.374 0.619 (multiplicity 2)
Pt 0.462 0.124 0.216 (multiplicity 2)

Computed properties:
Its density is 18.02 g/cm3.

=====

Calculated energy (eV/atom), listed in the same order as above: -6.1223; -6.1712
Calculated calculated volume (Å³ per atom), listed in the same order as above: 14.0; 13.9
Calculated N(E_F) (states/eV per atom), listed in the same order as above: 1.346; 1.039